! Mg2TaNi, optimized geometry, DFT PBE; values from VASP
&SYSTEM
  ibrav = 0, nat = 4, ntyp = 3
/
ATOMIC_SPECIES
Mg 24.30 Mg.upf
Ta 180.95 Ta.upf
Ni 58.69 Ni.upf
CELL_PARAMETERS angstrom
-1.5688 2.3902 4.6639
1.5688 -2.3902 4.6639
1.5688 2.3902 -4.6639
ATOMIC_POSITIONS crystal
Mg 0.0000 0.0000 0.0000
Mg 0.7155 0.2155 0.5000
Ta 0.4311 0.4311 0.0000
Ni 0.2289 0.7289 0.5000
! Crystal system: orthorhombic
! Density of states at the Fermi level, states/eV per cell: 3.20
! Energy, eV/atom: -4.99
! ρ, Mg/m³: 6.84